Record 1
Computed, not measured: crystalline ErIn2Pd at its relaxed geometry at the PBEsol level of DFT.

The value obtained for the final energy is -4.917 eV per atom. Its formation energy is -704 meV per atom.

abc: 13.5513 13.5513 9.0246
angles: 90.00 90.00 90.00
Space group I4mm (No. 107)
One atom of each set of equivalent atoms:
Er 0.0000 0.0000 0.0000 [2 per cell]
Er 0.0000 0.0000 0.4739 [2 per cell]
Er 0.0000 0.2798 0.0726 [8 per cell]
Er 0.2019 0.2019 0.5872 [8 per cell]
In 0.0000 0.1629 0.7447 [8 per cell]
In 0.0000 0.3825 0.5994 [8 per cell]
In 0.1297 0.1297 0.2380 [8 per cell]
In 0.1423 0.3493 0.3363 [16 per cell]
Pd 0.0000 0.2133 0.4382 [8 per cell]
Pd 0.0000 0.5000 0.3491 [4 per cell]
Pd 0.1611 0.1611 0.9317 [8 per cell]

Record 2
Computed, not measured: crystalline LaTlIn2 at its relaxed geometry at the PBEsol level of DFT.

The value obtained for the final energy is -3.784 eV per atom. Its formation energy is -299 meV per atom.

abc: 3.2546 5.2232 6.2875
angles: 90.00 90.04 90.00
Space group P2/m (No. 10)
One atom of each set of equivalent atoms:
La 0.0000 0.0000 0.0000 [1 per cell]
Tl 0.5000 0.0000 0.5000 [1 per cell]
In 0.4984 0.5000 0.7546 [2 per cell]

Record 3
Computed, not measured: crystalline NbINF2 at its relaxed geometry at the PBEsol level of DFT.

The value obtained for the final energy is -6.017 eV per atom.

abc: 4.1809 4.1809 4.1848
angles: 90.00 90.00 90.00
Space group P4/mmm (No. 123)
One atom of each set of equivalent atoms:
Nb 0.0000 0.0000 0.0000 [1 per cell]
I 0.5000 0.5000 0.5000 [1 per cell]
N 0.0000 0.0000 0.5000 [1 per cell]
F 0.0000 0.5000 0.0000 [2 per cell]

Record 4
Computed, not measured: crystalline IrPtRh at its relaxed geometry at the PBEsol level of DFT.

The calculation puts the energy above the most stable polymorph in this dataset at 1.9 meV/atom. The value obtained for the final energy is -8.298 eV per atom. Its formation energy is 10 meV per atom.

abc: 2.7186 2.7186 6.6401
angles: 90.00 90.00 120.00
Space group P3m1 (No. 156)
One atom of each set of equivalent atoms:
Ir 0.0000 0.0000 0.0000 [1 per cell]
Pt 0.6667 0.3333 0.6590 [1 per cell]
Rh 0.3333 0.6667 0.3204 [1 per cell]

Record 5
Computed, not measured: crystalline LiHfSb2 at its relaxed geometry at the PBEsol level of DFT.

The value obtained for the final energy is -5.664 eV per atom.

abc: 7.0360 7.0360 7.0360
angles: 90.00 90.00 90.00
Space group Fm-3m (No. 225)
One atom of each set of equivalent atoms:
Li 0.0000 0.0000 0.0000 [4 per cell]
Hf 0.0000 0.0000 0.5000 [4 per cell]
Sb 0.2500 0.2500 0.2500 [8 per cell]

Record 6
Computed, not measured: crystalline MgFe4O6 at its relaxed geometry at the PBEsol level of DFT.

The value obtained for the final energy is -7.594 eV per atom.

abc: 2.8533 9.7485 15.3786
angles: 90.00 90.00 90.00
Space group Cmcm (No. 63)
One atom of each set of equivalent atoms:
Mg 0.0000 0.1365 0.2500 [4 per cell]
Fe 0.0000 0.1104 0.6418 [8 per cell]
Fe 0.0000 0.3684 0.5459 [8 per cell]
O 0.0000 0.0000 0.0000 [4 per cell]
O 0.0000 0.2116 0.7500 [4 per cell]
O 0.0000 0.2706 0.0808 [8 per cell]
O 0.0000 0.4655 0.6631 [8 per cell]

- Which formula does entry 6 have?
  MgFe4O6